P.
# Pr4Y3Ho

A geometry-optimized Pr4Y3Ho structure (PBE, Alexandria via LeMat-Bulk).

a = 6.366 Å, b = 7.383 Å, c = 11.704 Å
α = 90.00°, β = 90.00°, γ = 90.00°
Fractional coordinates of all 16 atoms:
Pr  0.482  0.872  0.748
Pr  0.150  0.872  0.000
Pr  0.650  0.128  0.500
Pr  0.982  0.128  0.752
Pr  0.482  0.872  0.252
Pr  0.646  0.127  0.000
Pr  0.146  0.873  0.500
Pr  0.982  0.128  0.248
Ho  0.646  0.620  0.500
Ho  0.146  0.380  0.000
Y  0.981  0.621  0.250
Y  0.481  0.379  0.750
Y  0.981  0.621  0.750
Y  0.648  0.622  0.000
Y  0.481  0.379  0.250
Y  0.148  0.378  0.500

---

Q.
# Pr4Y3Ho

A geometry-optimized Pr4Y3Ho structure (PBE, Alexandria via LeMat-Bulk).

a = 3.510 Å, b = 6.887 Å, c = 12.060 Å
α = 106.18°, β = 98.37°, γ = 90.00°
Fractional coordinates of all 8 atoms:
Pr  0.877  0.632  0.754
Pr  0.741  0.236  0.481
Pr  0.259  0.764  0.519
Pr  0.123  0.368  0.246
Ho  0.500  0.000  0.000
Y  0.878  0.119  0.756
Y  0.000  0.500  0.000
Y  0.122  0.881  0.244

---

Which structure is the most stable? The one labeled P.

---

P.
# Pr3YHo3

A geometry-optimized Pr3YHo3 structure (PBE, Alexandria via LeMat-Bulk).

a = 8.887 Å, b = 8.887 Å, c = 8.887 Å
α = 58.91°, β = 58.91°, γ = 58.91°
Fractional coordinates of all 14 atoms:
Pr  0.937  0.704  0.180
Pr  0.704  0.180  0.937
Pr  0.820  0.063  0.296
Pr  0.180  0.937  0.704
Pr  0.063  0.296  0.820
Pr  0.296  0.820  0.063
Ho  0.062  0.726  0.572
Ho  0.726  0.572  0.062
Ho  0.428  0.938  0.274
Ho  0.938  0.274  0.428
Ho  0.274  0.428  0.938
Ho  0.572  0.062  0.726
Y  0.349  0.349  0.349
Y  0.651  0.651  0.651

---

Q.
# Pr3YHo3

A geometry-optimized Pr3YHo3 structure (PBE, Alexandria via LeMat-Bulk).

a = 5.804 Å, b = 9.693 Å, c = 9.692 Å
α = 120.00°, β = 90.00°, γ = 90.00°
Fractional coordinates of all 14 atoms:
Ho  0.750  0.905  0.521
Ho  0.250  0.095  0.479
Ho  0.250  0.521  0.616
Ho  0.750  0.479  0.384
Ho  0.750  0.616  0.095
Ho  0.250  0.384  0.905
Y  0.250  0.667  0.333
Y  0.750  0.333  0.667
Pr  0.750  0.196  0.952
Pr  0.250  0.953  0.757
Pr  0.750  0.047  0.243
Pr  0.250  0.804  0.048
Pr  0.750  0.757  0.804
Pr  0.250  0.243  0.196

---

Which structure is the most stable? The one labeled Q.